PuAlFeSi after structural relaxation, computed with PBE-GGA.

## Properties
Formation energy (no corrections) = -260 meV/atom
E = -8.250 eV per atom
Density of states at the Fermi level = 12.7 states/eV/f.u.

Geometry as POSCAR:
```
PuAlFeSi
1.0
-1.719 -3.488 -1.038
1.573 -2.213 -2.972
2.833 -4.308 1.982
Al Fe Pu Si
1 1 1 1
Cartesian
2.673 -4.175 1.798
0.335 -2.221 -0.894
1.462 -7.045 -2.158
0.440 -4.250 -2.054
```

Ac3Cd2GePd6 after structural relaxation, computed with PBE-GGA.

## Properties
E = -4.831 eV per atom
Energy relative to the elements = -0.670 eV per atom
Density of states at the Fermi level = 6.4 states/eV/f.u.

Geometry as POSCAR:
```
Ac3Cd2GePd6
1.0
5.940 0.000 0.000
-2.970 5.144 0.000
0.000 0.000 8.989
Pd Cd Ac Ge
6 2 3 1
Cartesian
2.970 3.375 6.399
1.532 0.885 6.399
1.438 4.260 2.590
4.408 0.885 6.399
0.000 1.769 2.590
-1.438 4.260 2.590
2.970 1.715 8.744
0.000 3.430 0.245
0.000 3.430 5.583
0.000 0.000 0.000
2.970 1.715 3.406
0.000 0.000 4.495
```

ThSc4As5 after structural relaxation, computed with PBE-GGA.

## Properties
E = -6.948 eV per atom
Energy relative to the elements = -1.348 eV per atom
Density of states at the Fermi level = 3.2 states/eV/f.u.

Geometry as POSCAR:
```
ThSc4As5
1.0
3.898 0.000 -0.752
-0.293 5.464 -1.517
-0.003 -0.046 10.463
As Sc Th
5 4 1
Cartesian
2.343 0.588 1.666
-0.146 2.732 -0.758
3.033 1.617 5.241
0.570 3.801 2.954
1.259 4.830 6.528
2.862 4.313 4.355
2.174 3.287 0.792
1.428 2.131 7.403
0.741 1.106 3.840
0.000 0.000 0.000
```

RbPa2TeO8 after structural relaxation, computed with PBE-GGA.

## Properties
Formation energy (no corrections) = -2439 meV/atom
E = -7.669 eV per atom
Density of states at the Fermi level = 3.8 states/eV/f.u.

Geometry as POSCAR:
```
RbPa2TeO8
1.0
-5.039 0.849 0.957
-1.412 -4.454 -2.266
0.625 -3.423 6.334
O Pa Rb Te
8 2 1 1
Cartesian
-4.522 -2.531 -0.920
-1.304 -4.496 5.944
-3.785 -3.010 5.377
-3.943 -4.097 2.298
-4.164 -0.928 1.526
-1.883 -2.930 2.726
-2.042 -4.017 -0.352
-1.663 -6.099 3.498
-3.069 -2.657 0.927
-2.757 -4.370 4.098
0.312 -1.711 3.167
0.000 0.000 0.000
```

ZrGaTc2H after structural relaxation, computed with PBE-GGA.

## Properties
E = -7.306 eV per atom
Density of states at the Fermi level = 4.7 states/eV/f.u.

Geometry as POSCAR:
```
ZrGaTc2H
1.0
-3.209 -1.936 -1.597
-0.385 -2.182 3.419
-2.470 2.833 1.530
Tc Zr Ga H
2 1 1 1
Cartesian
-0.193 -1.091 1.710
-1.605 -0.968 -0.799
-1.235 1.417 0.765
-3.033 -0.642 1.676
0.000 0.000 0.000
```

Ba6Sr5Mg after structural relaxation, computed with PBE-GGA.

## Properties
E = -1.778 eV per atom
Energy relative to the elements = 0.017 eV per atom
Density of states at the Fermi level = 17.6 states/eV/f.u.

Geometry as POSCAR:
```
Ba6Sr5Mg
1.0
6.388 -0.408 1.042
-0.030 10.105 4.141
1.541 1.282 11.283
Ba Sr Mg
6 5 1
Cartesian
4.710 9.158 15.116
5.867 0.730 4.690
5.851 6.325 6.982
2.048 4.654 9.484
2.031 10.249 11.777
3.188 1.821 1.351
2.672 3.748 5.274
5.358 2.433 8.501
5.226 7.231 11.192
-0.015 5.053 2.071
2.540 8.546 7.965
0.000 0.000 0.000
```

CeYRh after structural relaxation, computed with PBE-GGA.

## Properties
E = -7.042 eV per atom
Energy relative to the elements = -0.458 eV per atom
Density of states at the Fermi level = 4.2 states/eV/f.u.
Excess energy over the best structure of this formula in the dataset = 72 meV per atom

Geometry as POSCAR:
```
CeYRh
1.0
3.510 0.000 0.000
0.000 3.510 0.000
-1.755 -1.755 6.071
Rh Y Ce
1 1 1
Cartesian
1.755 1.755 1.978
0.000 0.000 3.706
0.000 0.000 0.387
```

La6AgPd2I3 after structural relaxation, computed with PBE-GGA.

## Properties
Formation energy (no corrections) = -813 meV/atom
E = -4.768 eV per atom
Density of states at the Fermi level = 13.9 states/eV/f.u.

Geometry as POSCAR:
```
La6AgPd2I3
1.0
-5.070 -5.590 0.543
6.945 -0.911 2.861
-3.150 5.144 5.946
Ag I Pd La
1 3 2 6
Cartesian
0.000 0.000 0.000
-4.708 -2.263 3.890
-0.638 -0.678 4.675
3.433 0.906 5.460
2.953 -2.466 2.090
-1.078 -4.035 1.313
-1.991 2.282 5.716
-2.283 -1.342 1.638
-3.181 -1.645 6.903
1.008 -0.014 7.711
0.716 -3.639 3.634
1.905 0.288 2.446
```

Magnetization (μB/atom)
1.12 0.00 0.00 0.00 0.12 0.00 0.50 0.00